No. 1
The following is a DFT calculation (PBE) of an optimized crystal structure of Nd2GaNi.

Geometry as POSCAR:
```
Nd2GaNi
1.0
4.574 0.000 0.000
0.000 8.913 -0.004
-2.287 -2.225 4.875
Nd Ga Ni
4 2 2
Cartesian
0.001 4.458 1.668 Nd
2.286 2.230 3.203 Nd
-0.001 0.001 1.670 Nd
2.287 6.687 3.201 Nd
2.284 2.228 -0.001 Ga
2.289 6.685 -0.003 Ga
0.003 6.685 -0.003 Ni
4.571 2.228 -0.001 Ni
```

- spin magnetization (μB per atom) = 0.000
- SG = C2/c
- calculated formation energy (kJ/mol of formula units) = -108
- theoretical density (g/cm³) = 6.97
- V (Å³/atom) = 24.8


No. 2
The following is a DFT calculation (PBE) of an optimized crystal structure of Nd3Ga6Ni5.

Geometry as POSCAR:
```
Nd3Ga6Ni5
1.0
4.178 0.000 0.000
0.000 9.014 0.000
0.000 0.000 12.788
Nd Ga Ni
6 12 10
Cartesian
0.000 2.244 8.939 Nd
2.089 6.769 2.546 Nd
2.089 6.769 10.242 Nd
0.000 2.351 0.000 Nd
2.089 6.663 6.394 Nd
0.000 2.244 3.848 Nd
0.000 8.845 10.884 Ga
2.089 0.168 8.297 Ga
2.089 3.684 10.563 Ga
2.089 5.257 0.000 Ga
0.000 3.757 6.394 Ga
0.000 5.330 8.618 Ga
0.000 5.330 4.169 Ga
2.089 8.696 0.000 Ga
0.000 8.845 1.904 Ga
2.089 3.684 2.225 Ga
0.000 0.317 6.394 Ga
2.089 0.168 4.490 Ga
0.000 4.886 11.388 Ni
0.000 7.861 8.430 Ni
0.000 7.076 0.000 Ni
2.089 4.128 7.793 Ni
2.089 1.938 6.394 Ni
0.000 4.886 1.399 Ni
2.089 4.128 4.995 Ni
0.000 7.861 4.357 Ni
2.089 1.153 10.751 Ni
2.089 1.153 2.036 Ni
```

- spin magnetization (μB per atom) = 0.000
- SG = Pmmn
- calculated formation energy (kJ/mol of formula units) = -731
- theoretical density (g/cm³) = 7.89
- V (Å³/atom) = 17.2


No. 3
The following is a DFT calculation (PBE) of an optimized crystal structure of Nd4Ga3Ni.

Geometry as POSCAR:
```
Nd4Ga3Ni
1.0
4.390 0.000 0.000
0.000 4.291 0.000
0.000 0.000 10.722
Ni Nd Ga
1 4 3
Cartesian
2.195 2.145 0.684 Ni
2.195 2.145 3.629 Nd
0.000 2.145 9.347 Nd
0.000 0.000 1.519 Nd
2.195 0.000 6.924 Nd
0.000 2.145 6.132 Ga
0.000 0.000 4.567 Ga
2.195 0.000 10.087 Ga
```

- spin magnetization (μB per atom) = 0.000
- SG = Pmm2
- calculated formation energy (kJ/mol of formula units) = -381
- theoretical density (g/cm³) = 6.95
- V (Å³/atom) = 25.2


No. 4
The following is a DFT calculation (PBE) of an optimized crystal structure of NdGa4Ni6.

Geometry as POSCAR:
```
NdGa4Ni6
1.0
3.857 0.000 0.000
0.000 6.857 0.000
0.000 -3.428 5.938
Nd Ga Ni
1 4 6
Cartesian
0.000 0.000 0.000 Nd
1.929 3.428 3.566 Ga
1.929 2.054 1.186 Ga
1.929 4.803 1.186 Ga
0.000 0.000 3.959 Ga
0.000 3.428 0.421 Ni
1.929 1.287 4.702 Ni
0.000 2.079 2.758 Ni
0.000 4.778 2.758 Ni
1.929 -1.287 4.702 Ni
1.929 0.000 2.473 Ni
```

- spin magnetization (μB per atom) = 0.000
- SG = P-6m2
- calculated formation energy (kJ/mol of formula units) = -450
- theoretical density (g/cm³) = 8.20
- V (Å³/atom) = 14.3


No. 5
The following is a DFT calculation (PBE) of an optimized crystal structure of Nd2Ga3Ni4.

Geometry as POSCAR:
```
Nd2Ga3Ni4
1.0
5.560 0.000 0.000
0.000 7.040 0.000
-2.780 0.000 7.675
Nd Ga Ni
4 6 8
Cartesian
0.000 4.116 1.639 Nd
2.780 2.924 6.037 Nd
0.000 0.596 6.037 Nd
2.780 6.443 1.639 Nd
0.000 0.000 0.000 Ga
2.780 3.520 0.000 Ga
1.390 5.280 4.097 Ga
4.170 1.760 3.578 Ga
1.390 1.760 3.578 Ga
-1.390 5.280 4.097 Ga
1.390 5.280 6.586 Ni
4.170 1.760 1.089 Ni
1.390 1.760 1.089 Ni
-1.390 5.280 6.586 Ni
0.000 6.984 2.642 Ni
2.780 0.056 5.034 Ni
0.000 3.464 5.034 Ni
2.780 3.576 2.642 Ni
```

- spin magnetization (μB per atom) = 0.000
- SG = Cmce
- calculated formation energy (kJ/mol of formula units) = -418
- theoretical density (g/cm³) = 8.10
- V (Å³/atom) = 16.7


No. 6
The following is a DFT calculation (PBE) of an optimized crystal structure of Nd3Ga2Ni3.

Geometry as POSCAR:
```
Nd3Ga2Ni3
1.0
-2.028 3.405 1.470
-3.805 -4.101 -1.829
-0.119 -5.584 12.770
Nd Ga Ni
6 4 6
Cartesian
-5.111 -2.500 4.816 Nd
-0.875 -5.362 11.211 Nd
-5.077 -0.919 1.201 Nd
-0.841 -3.781 7.595 Nd
-2.367 -0.352 3.627 Nd
-3.585 -5.928 8.784 Nd
-3.883 -4.773 11.776 Ga
-2.109 -3.335 4.815 Ga
-3.844 -2.945 7.596 Ga
-2.070 -1.507 0.635 Ga
-2.108 -1.395 6.401 Ni
-3.895 -7.254 11.428 Ni
-2.058 0.974 0.983 Ni
-3.845 -4.885 6.011 Ni
-3.123 -2.936 2.490 Ni
-2.829 -3.345 9.921 Ni
```

- spin magnetization (μB per atom) = 0.000
- SG = Cmcm
- calculated formation energy (kJ/mol of formula units) = -367
- theoretical density (g/cm³) = 7.68
- V (Å³/atom) = 20.2


No. 7
The following is a DFT calculation (PBE) of an optimized crystal structure of Nd2Ga5Ni5.

Geometry as POSCAR:
```
Nd2Ga5Ni5
1.0
4.050 0.000 0.000
0.000 5.282 0.000
0.000 0.000 8.997
Nd Ga Ni
2 5 5
Cartesian
0.000 2.641 0.000 Nd
0.000 0.000 4.498 Nd
2.025 2.641 4.498 Ga
2.025 3.968 2.128 Ga
2.025 1.315 6.869 Ga
2.025 1.315 2.128 Ga
2.025 3.968 6.869 Ga
0.000 2.641 3.015 Ni
0.000 0.000 7.472 Ni
0.000 0.000 1.525 Ni
0.000 2.641 5.982 Ni
2.025 0.000 0.000 Ni
```

- spin magnetization (μB per atom) = 0.000
- SG = Pmmm
- calculated formation energy (kJ/mol of formula units) = -611
- theoretical density (g/cm³) = 8.03
- V (Å³/atom) = 16.0


No. 8
The following is a DFT calculation (PBE) of an optimized crystal structure of Nd2Ga12Ni.

Geometry as POSCAR:
```
Nd2Ga12Ni
1.0
-3.190 4.476 -2.635
0.270 -2.946 -5.329
-13.127 -7.353 3.401
Nd Ga Ni
4 24 2
Cartesian
-4.774 0.457 -0.494 Nd
-11.543 -3.335 1.259 Nd
-9.813 -7.046 -0.087 Nd
-3.044 -3.254 -1.841 Nd
-6.483 -4.132 -3.838 Ga
-7.739 -0.670 -1.198 Ga
-8.487 -3.203 0.164 Ga
-9.385 -3.643 -4.255 Ga
-7.834 -5.402 -2.072 Ga
-10.038 -1.443 -2.019 Ga
-8.122 -1.416 -4.291 Ga
-6.100 -3.386 -0.746 Ga
-12.625 -7.828 -1.542 Ga
-14.353 -4.118 -0.190 Ga
-1.829 -0.230 -1.706 Ga
-3.287 0.530 -5.690 Ga
-1.693 -1.706 -4.369 Ga
-3.424 2.006 -3.027 Ga
-14.220 -5.589 -2.856 Ga
-12.758 -6.358 1.124 Ga
-5.967 -1.760 -2.815 Ga
-10.080 -4.064 -1.749 Ga
-8.620 -4.829 2.233 Ga
-4.507 -2.525 1.167 Ga
-3.868 -0.584 -3.359 Ga
-12.179 -5.240 -1.205 Ga
-10.719 -6.005 2.777 Ga
-2.407 -1.349 0.624 Ga
-1.595 2.238 -1.318 Ni
0.135 -1.473 -2.665 Ni
```

- spin magnetization (μB per atom) = 0.000
- SG = P4/nbm
- calculated formation energy (kJ/mol of formula units) = -579
- theoretical density (g/cm³) = 6.86
- V (Å³/atom) = 19.1


No. 9
The following is a DFT calculation (PBE) of an optimized crystal structure of Nd2GaNi.

Geometry as POSCAR:
```
Nd2GaNi
1.0
-0.516 3.183 -2.043
-3.057 2.198 0.630
3.751 6.793 6.073
Ni Nd Ga
1 2 1
Cartesian
0.089 6.087 2.330 Ni
2.143 5.166 3.943 Nd
-1.964 7.008 0.717 Nd
0.000 0.000 0.000 Ga
```

- spin magnetization (μB per atom) = 0.000
- SG = R-3m
- calculated formation energy (kJ/mol of formula units) = 33
- theoretical density (g/cm³) = 5.71
- V (Å³/atom) = 30.3


No. 10
The following is a DFT calculation (PBE) of an optimized crystal structure of Nd2GaNi2.

Geometry as POSCAR:
```
Nd2GaNi2
1.0
-4.250 -0.110 -0.488
-2.304 -4.459 2.296
-2.715 0.369 4.791
Ni Nd Ga
2 2 1
Cartesian
-4.731 -0.962 3.887 Ni
-4.537 -3.238 2.711 Ni
-6.914 -2.956 4.581 Nd
-2.354 -1.243 2.018 Nd
0.000 0.000 0.000 Ga
```

- spin magnetization (μB per atom) = 0.000
- SG = Immm
- calculated formation energy (kJ/mol of formula units) = -226
- theoretical density (g/cm³) = 7.88
- V (Å³/atom) = 20.0


No. 11
The following is a DFT calculation (PBE) of an optimized crystal structure of Nd3GaNi2.

Geometry as POSCAR:
```
Nd3GaNi2
1.0
-3.875 -2.320 -5.092
0.816 -6.753 0.235
-5.632 -2.248 3.089
Nd Ga Ni
6 2 4
Cartesian
-5.844 -3.147 0.132 Nd
-2.085 -6.194 1.166 Nd
-2.935 -4.811 -3.508 Nd
-2.848 -8.174 -1.900 Nd
-6.606 -5.128 -2.934 Nd
-5.756 -6.510 1.740 Nd
-4.346 -5.661 -0.884 Ga
0.000 0.000 0.000 Ga
-2.903 -3.781 -0.590 Ni
-1.443 -1.880 -0.294 Ni
-7.248 -9.442 -1.474 Ni
-5.789 -7.540 -1.178 Ni
```

- spin magnetization (μB per atom) = 0.000
- SG = R-3c
- calculated formation energy (kJ/mol of formula units) = -168
- theoretical density (g/cm³) = 7.08
- V (Å³/atom) = 24.2


No. 12
The following is a DFT calculation (PBE) of an optimized crystal structure of NdGa2Ni.

Geometry as POSCAR:
```
NdGa2Ni
1.0
-0.094 -0.127 4.117
-1.809 -3.163 1.923
3.969 -3.714 2.037
Ni Nd Ga
1 1 2
Cartesian
0.000 0.000 0.000 Ni
1.033 -3.502 4.038 Nd
-0.037 -1.436 2.016 Ga
2.103 -5.568 6.061 Ga
```

- spin magnetization (μB per atom) = 0.000
- SG = R-3m
- calculated formation energy (kJ/mol of formula units) = -223
- theoretical density (g/cm³) = 7.30
- V (Å³/atom) = 19.5